# 1
Computed, not measured: a relaxed structure of BeAlReRu2 at the GGA-PBEsol level of DFT.

Cell: 4.1776 4.6003 4.6003 Å, 90.00 90.00 90.00°
With the nearest neighbours (Å) after each atom.
Element x y z (fractional)
Re: 0.0000 0.0000 0.0000  2 Be 2.09, 4 Ru 2.30
Be: 0.5000 0.0000 0.0000  2 Re 2.09
Al: 0.5000 0.5000 0.5000  8 Ru 3.11, 4 Be 3.25
Ru: 0.0000 0.0000 0.5000  2 Re 2.30
Ru: 0.0000 0.5000 0.0000  2 Re 2.30

Output
Uncorrected energy   -34.892 eV/cell
Size of the total moment   0.000 μB/f.u.
DFT formation energy   1375 meV per atom
Volume   88.4 Å³/cell
Space group   P4/mmm (123)


# 2
Computed, not measured: a relaxed structure of Be2AlRh2 at the GGA-PBEsol level of DFT.

Cell: 2.8071 6.2686 6.2686 Å, 90.00 90.00 90.00°
With the nearest neighbours (Å) after each atom.
Element x y z (fractional)
Be: 0.0000 0.3799 0.8799  1 Be 2.13, 6 Rh 2.30-2.35
Be: 0.0000 0.8799 0.6201  1 Be 2.13, 6 Rh 2.30-2.35
Be: 0.0000 0.6201 0.1201  1 Be 2.13, 6 Rh 2.30-2.35
Be: 0.0000 0.1201 0.3799  1 Be 2.13, 6 Rh 2.30-2.35
Rh: 0.5000 0.1749 0.6749  6 Be 2.30-2.35
Rh: 0.5000 0.6749 0.8251  6 Be 2.30-2.35
Rh: 0.5000 0.8251 0.3251  6 Be 2.30-2.35
Rh: 0.5000 0.3251 0.1749  6 Be 2.30-2.35
Al: 0.0000 0.0000 0.0000  4 Be 2.50, 8 Rh 2.71
Al: 0.0000 0.5000 0.5000  4 Be 2.50, 8 Rh 2.71

Output
Uncorrected energy   -64.035 eV/cell
Size of the total moment   0.000 μB/f.u.
DFT formation energy   -730 meV per atom
Volume   110.3 Å³/cell
Space group   P4/mbm (127)


# 3
Computed, not measured: a relaxed structure of BeAl2Rh at the GGA-PBEsol level of DFT.

Cell: 3.2537 3.9366 3.9366 Å, 90.00 90.00 90.00°
With the nearest neighbours (Å) after each atom.
Element x y z (fractional)
Be: 0.5000 0.5000 0.5000  8 Al 2.55, 4 Rh 2.78
Rh: 0.5000 0.0000 0.0000  8 Al 2.55, 4 Be 2.78
Al: 0.0000 0.0000 0.5000  4 Be 2.55, 4 Rh 2.55, 4 Al 2.78
Al: 0.0000 0.5000 0.0000  4 Be 2.55, 4 Rh 2.55, 4 Al 2.78

Output
Uncorrected energy   -22.239 eV/cell
Size of the total moment   0.000 μB/f.u.
DFT formation energy   -479 meV per atom
Volume   50.4 Å³/cell
Space group   P4/mmm (123)


# 4
Computed, not measured: a relaxed structure of BeAlRh2 at the GGA-PBEsol level of DFT.

Cell: 2.8568 3.9515 4.9697 Å, 113.43 106.70 90.00°
With the nearest neighbours (Å) after each atom.
Element x y z (fractional)
Be: 0.2620 0.7620 0.5240  6 Rh 2.37-2.44, 2 Al 2.61
Rh: 0.9804 0.9804 0.9608  2 Be 2.37, 4 Al 2.45
Rh: 0.7482 0.2482 0.4964  4 Be 2.44, 2 Al 2.68, 2 Rh 2.72
Al: 0.5094 0.5094 0.0188  6 Rh 2.45-2.68, 2 Be 2.61

Output
Energy relative to the lowest polymorph listed for this composition   313 meV per atom
Uncorrected energy   -26.644 eV/cell
Size of the total moment   0.001 μB/f.u.
DFT formation energy   -569 meV per atom
Volume   48.9 Å³/cell
Space group   Imm2 (44)


# 5
Computed, not measured: a relaxed structure of Be4AlRh at the GGA-PBEsol level of DFT.

Cell: 4.2935 4.2935 4.2935 Å, 60.00 60.00 60.00°
With the nearest neighbours (Å) after each atom.
Element x y z (fractional)
Be: 0.8738 0.3754 0.3754  6 Be 2.14-2.15
Be: 0.3754 0.3754 0.3754  6 Be 2.14-2.15
Be: 0.3754 0.3754 0.8738  6 Be 2.14-2.15
Be: 0.3754 0.8738 0.3754  6 Be 2.14-2.15
Rh: 0.7500 0.7500 0.7500  12 Be 2.52, 4 Al 2.63
Al: 0.0000 0.0000 0.0000  12 Be 2.52, 4 Rh 2.63

Output
Uncorrected energy   -31.493 eV/cell
Size of the total moment   0.000 μB/f.u.
DFT formation energy   -544 meV per atom
Volume   56.0 Å³/cell
Space group   F-43m (216)


# 6
Computed, not measured: a relaxed structure of BeAlRh2 at the GGA-PBEsol level of DFT.

Cell: 2.8630 2.8630 5.7277 Å, 90.00 90.00 90.00°
With the nearest neighbours (Å) after each atom.
Element x y z (fractional)
Be: 0.5000 0.5000 0.5000  8 Rh 2.43
Rh: 0.0000 0.0000 0.7351  4 Be 2.43, 4 Al 2.53, 1 Rh 2.69
Rh: 0.0000 0.0000 0.2649  4 Be 2.43, 4 Al 2.53, 1 Rh 2.69
Al: 0.5000 0.5000 0.0000  8 Rh 2.53

Output
Energy relative to the lowest polymorph listed for this composition   0 meV per atom
Uncorrected energy   -27.895 eV/cell
Size of the total moment   0.000 μB/f.u.
DFT formation energy   -882 meV per atom
Volume   46.9 Å³/cell
Space group   P4/mmm (123)